Record 1
YHgTe2 | PBE | relaxed

relative energy among the computed polymorphs: 119 meV/atom
formation energy (no corrections): -0.78 eV/atom
magnetization: 0.00 μB/cell

Lattice parameters (Å, degrees): 4.401 4.401 23.572 90.00 90.00 120.00
Fractional coordinates of all 12 atoms:
Y: 0.000 0.000 0.000
Y: 0.333 0.667 0.667
Y: 0.667 0.333 0.333
Hg: 0.000 0.000 0.166
Hg: 0.333 0.667 0.833
Hg: 0.667 0.333 0.500
Te: 0.000 0.000 0.407
Te: 0.000 0.000 0.590
Te: 0.333 0.667 0.073
Te: 0.333 0.667 0.257
Te: 0.667 0.333 0.740
Te: 0.667 0.333 0.924



Record 2
YHgTe2 | PBE | relaxed

relative energy among the computed polymorphs: 157 meV/atom
formation energy (no corrections): -0.74 eV/atom
magnetization: 0.00 μB/cell

Lattice parameters (Å, degrees): 3.993 3.993 7.142 90.00 90.00 90.00
Fractional coordinates of all 4 atoms:
Y: 0.000 0.000 0.000
Hg: 0.000 0.000 0.500
Te: 0.500 0.500 0.225
Te: 0.500 0.500 0.775



Record 3
Y2HgTe | PBE | relaxed

relative energy among the computed polymorphs: 109 meV/atom
formation energy (no corrections): -0.82 eV/atom
magnetization: 0.00 μB/cell

Lattice parameters (Å, degrees): 11.742 4.003 4.728 90.00 90.08 90.00
Fractional coordinates of all 8 atoms:
Y: 0.000 0.000 0.000
Y: 0.239 0.500 0.500
Y: 0.500 0.500 0.000
Y: 0.739 0.000 0.500
Hg: 0.253 0.000 0.000
Hg: 0.753 0.500 0.000
Te: 0.469 0.000 0.500
Te: 0.969 0.500 0.500



Record 4
YHgTe2 | PBE | relaxed

relative energy among the computed polymorphs: 74 meV/atom
formation energy (no corrections): -0.82 eV/atom
magnetization: 0.00 μB/cell

Lattice parameters (Å, degrees): 6.211 6.211 13.438 90.00 90.00 90.00
Fractional coordinates of all 16 atoms:
Y: 0.000 0.250 0.375
Y: 0.000 0.750 0.625
Y: 0.500 0.250 0.125
Y: 0.500 0.750 0.875
Hg: 0.000 0.250 0.875
Hg: 0.000 0.750 0.125
Hg: 0.500 0.250 0.625
Hg: 0.500 0.750 0.375
Te: 0.000 0.250 0.143
Te: 0.000 0.250 0.607
Te: 0.000 0.750 0.393
Te: 0.000 0.750 0.857
Te: 0.500 0.250 0.357
Te: 0.500 0.250 0.893
Te: 0.500 0.750 0.107
Te: 0.500 0.750 0.643



Record 5
YHg2Te2 | PBE | relaxed

relative energy among the computed polymorphs: 193 meV/atom
formation energy (no corrections): -0.34 eV/atom
magnetization: 0.00 μB/cell

Lattice parameters (Å, degrees): 7.939 7.939 4.785 90.00 90.00 90.00
Fractional coordinates of all 10 atoms:
Y: 0.000 0.000 0.000
Y: 0.500 0.500 0.000
Hg: 0.172 0.328 0.500
Hg: 0.328 0.828 0.500
Hg: 0.672 0.172 0.500
Hg: 0.828 0.672 0.500
Te: 0.147 0.647 0.000
Te: 0.353 0.147 0.000
Te: 0.647 0.853 0.000
Te: 0.853 0.353 0.000



Record 6
YHgTe | PBE | relaxed

relative energy among the computed polymorphs: 0 meV/atom
formation energy (no corrections): -0.81 eV/atom
magnetization: 0.00 μB/cell

Lattice parameters (Å, degrees): 10.227 10.227 10.227 27.26 27.26 27.26
Fractional coordinates of all 6 atoms:
Y: 0.064 0.064 0.064
Y: 0.936 0.936 0.936
Hg: 0.330 0.330 0.330
Hg: 0.670 0.670 0.670
Te: 0.224 0.224 0.224
Te: 0.776 0.776 0.776



Record 7
Y3HgTe2 | PBE | relaxed

relative energy among the computed polymorphs: 0 meV/atom
formation energy (no corrections): -1.05 eV/atom
magnetization: 0.00 μB/cell

Lattice parameters (Å, degrees): 4.202 6.179 13.493 90.00 90.00 90.00
Fractional coordinates of all 12 atoms:
Y: 0.000 0.000 0.000
Y: 0.000 0.000 0.338
Y: 0.000 0.000 0.662
Y: 0.500 0.500 0.162
Y: 0.500 0.500 0.500
Y: 0.500 0.500 0.838
Hg: 0.000 0.500 0.000
Hg: 0.500 0.000 0.500
Te: 0.000 0.500 0.331
Te: 0.000 0.500 0.669
Te: 0.500 0.000 0.169
Te: 0.500 0.000 0.831



Record 8
YHgTe2 | PBE | relaxed

relative energy among the computed polymorphs: 212 meV/atom
formation energy (no corrections): -0.69 eV/atom
magnetization: 0.00 μB/cell

Lattice parameters (Å, degrees): 7.710 10.082 5.801 90.00 90.17 90.00
Fractional coordinates of all 16 atoms:
Y: 0.000 0.138 0.250
Y: 0.000 0.862 0.750
Y: 0.500 0.362 0.750
Y: 0.500 0.638 0.250
Hg: 0.000 0.395 0.750
Hg: 0.000 0.605 0.250
Hg: 0.500 0.105 0.250
Hg: 0.500 0.895 0.750
Te: 0.228 0.123 0.750
Te: 0.228 0.877 0.250
Te: 0.272 0.377 0.250
Te: 0.272 0.623 0.750
Te: 0.728 0.377 0.250
Te: 0.728 0.623 0.750
Te: 0.772 0.123 0.750
Te: 0.772 0.877 0.250



Record 9
YHgTe2 | PBE | relaxed

relative energy among the computed polymorphs: 124 meV/atom
formation energy (no corrections): -0.77 eV/atom
magnetization: 0.00 μB/cell

Lattice parameters (Å, degrees): 4.476 4.476 27.732 90.00 90.00 120.00
Fractional coordinates of all 12 atoms:
Y: 0.000 0.000 0.000
Y: 0.333 0.667 0.667
Y: 0.667 0.333 0.333
Hg: 0.000 0.000 0.500
Hg: 0.333 0.667 0.167
Hg: 0.667 0.333 0.833
Te: 0.000 0.000 0.394
Te: 0.000 0.000 0.606
Te: 0.333 0.667 0.061
Te: 0.333 0.667 0.273
Te: 0.667 0.333 0.727
Te: 0.667 0.333 0.939



Record 10
YHgTe | PBE | relaxed

relative energy among the computed polymorphs: 207 meV/atom
formation energy (no corrections): -0.60 eV/atom
magnetization: 0.02 μB/cell

Lattice parameters (Å, degrees): 7.266 7.266 7.266 90.00 90.00 90.00
Fractional coordinates of all 12 atoms:
Y: 0.000 0.000 0.000
Y: 0.000 0.500 0.500
Y: 0.500 0.000 0.500
Y: 0.500 0.500 0.000
Hg: 0.250 0.250 0.750
Hg: 0.250 0.750 0.250
Hg: 0.750 0.250 0.250
Hg: 0.750 0.750 0.750
Te: 0.250 0.250 0.250
Te: 0.250 0.750 0.750
Te: 0.750 0.250 0.750
Te: 0.750 0.750 0.250



Record 11
YHg2Te | PBE | relaxed

formation energy (no corrections): -0.28 eV/atom
magnetization: 0.00 μB/cell

Lattice parameters (Å, degrees): 4.630 4.630 18.869 90.00 90.00 120.00
Fractional coordinates of all 12 atoms:
Y: 0.000 0.000 0.000
Y: 0.333 0.667 0.667
Y: 0.667 0.333 0.333
Hg: 0.000 0.000 0.254
Hg: 0.000 0.000 0.746
Hg: 0.333 0.667 0.413
Hg: 0.333 0.667 0.921
Hg: 0.667 0.333 0.079
Hg: 0.667 0.333 0.587
Te: 0.000 0.000 0.500
Te: 0.333 0.667 0.167
Te: 0.667 0.333 0.833



Record 12
YHg2Te | PBE | relaxed

formation energy (no corrections): -0.43 eV/atom
magnetization: 0.00 μB/cell

Lattice parameters (Å, degrees): 7.542 7.542 7.542 90.00 90.00 90.00
Fractional coordinates of all 16 atoms:
Y: 0.000 0.000 0.000
Y: 0.000 0.500 0.500
Y: 0.500 0.000 0.500
Y: 0.500 0.500 0.000
Hg: 0.000 0.000 0.500
Hg: 0.000 0.500 0.000
Hg: 0.250 0.250 0.250
Hg: 0.250 0.750 0.750
Hg: 0.500 0.000 0.000
Hg: 0.500 0.500 0.500
Hg: 0.750 0.250 0.750
Hg: 0.750 0.750 0.250
Te: 0.250 0.250 0.750
Te: 0.250 0.750 0.250
Te: 0.750 0.250 0.250
Te: 0.750 0.750 0.750



Record 13
YHgTe2 | PBE | relaxed

relative energy among the computed polymorphs: 34 meV/atom
formation energy (no corrections): -0.86 eV/atom
magnetization: 0.00 μB/cell

Lattice parameters (Å, degrees): 4.143 7.704 8.293 94.34 104.43 90.00
Fractional coordinates of all 8 atoms:
Y: 0.000 0.000 0.000
Y: 0.134 0.534 0.270
Hg: 0.779 0.083 0.554
Hg: 0.944 0.601 0.887
Te: 0.360 0.883 0.718
Te: 0.525 0.307 0.050
Te: 0.623 0.845 0.246
Te: 0.766 0.440 0.534



Record 14
Y2HgTe | PBE | relaxed

relative energy among the computed polymorphs: 0 meV/atom
formation energy (no corrections): -0.92 eV/atom
magnetization: 0.00 μB/cell

Lattice parameters (Å, degrees): 4.225 23.825 4.482 90.00 90.00 90.00
Fractional coordinates of all 16 atoms:
Y: 0.000 0.064 0.250
Y: 0.000 0.327 0.250
Y: 0.000 0.673 0.750
Y: 0.000 0.936 0.750
Y: 0.500 0.173 0.750
Y: 0.500 0.436 0.750
Y: 0.500 0.564 0.250
Y: 0.500 0.827 0.250
Hg: 0.000 0.456 0.250
Hg: 0.000 0.544 0.750
Hg: 0.500 0.044 0.750
Hg: 0.500 0.956 0.250
Te: 0.000 0.194 0.250
Te: 0.000 0.806 0.750
Te: 0.500 0.306 0.750
Te: 0.500 0.694 0.250



Record 15
Y2HgTe | PBE | relaxed

relative energy among the computed polymorphs: 815 meV/atom
formation energy (no corrections): -0.11 eV/atom
magnetization: 6.65 μB/cell

Lattice parameters (Å, degrees): 7.666 7.666 7.666 90.00 90.00 90.00
Fractional coordinates of all 16 atoms:
Y: 0.000 0.000 0.000
Y: 0.000 0.500 0.500
Y: 0.250 0.250 0.250
Y: 0.250 0.750 0.750
Y: 0.500 0.000 0.500
Y: 0.500 0.500 0.000
Y: 0.750 0.250 0.750
Y: 0.750 0.750 0.250
Hg: 0.000 0.000 0.500
Hg: 0.000 0.500 0.000
Hg: 0.500 0.000 0.000
Hg: 0.500 0.500 0.500
Te: 0.250 0.250 0.750
Te: 0.250 0.750 0.250
Te: 0.750 0.250 0.250
Te: 0.750 0.750 0.750



Record 16
YHgTe4 | PBE | relaxed

formation energy (no corrections): 0.01 eV/atom
magnetization: 0.00 μB/cell

Lattice parameters (Å, degrees): 6.388 6.388 6.388 60.00 60.00 60.00
Fractional coordinates of all 6 atoms:
Y: 0.000 0.000 0.000
Hg: 0.750 0.750 0.750
Te: 0.375 0.375 0.375
Te: 0.375 0.375 0.876
Te: 0.375 0.876 0.375
Te: 0.876 0.375 0.375



Record 17
YHgTe2 | PBE | relaxed

relative energy among the computed polymorphs: 239 meV/atom
formation energy (no corrections): -0.66 eV/atom
magnetization: 0.00 μB/cell

Lattice parameters (Å, degrees): 6.218 9.953 7.879 90.00 90.00 90.00
Fractional coordinates of all 16 atoms:
Y: 0.152 0.112 0.000
Y: 0.348 0.612 0.500
Y: 0.652 0.388 0.000
Y: 0.848 0.888 0.500
Hg: 0.118 0.766 0.800
Hg: 0.382 0.266 0.300
Hg: 0.618 0.734 0.800
Hg: 0.882 0.234 0.300
Te: 0.137 0.406 0.866
Te: 0.145 0.121 0.607
Te: 0.355 0.621 0.107
Te: 0.363 0.906 0.366
Te: 0.637 0.094 0.866
Te: 0.645 0.379 0.607
Te: 0.855 0.879 0.107
Te: 0.863 0.594 0.366



Record 18
Y2HgTe | PBE | relaxed

relative energy among the computed polymorphs: 119 meV/atom
formation energy (no corrections): -0.81 eV/atom
magnetization: 0.00 μB/cell

Lattice parameters (Å, degrees): 4.053 4.053 24.681 90.00 90.00 120.00
Fractional coordinates of all 12 atoms:
Y: 0.000 0.000 0.000
Y: 0.000 0.000 0.168
Y: 0.333 0.667 0.667
Y: 0.333 0.667 0.835
Y: 0.667 0.333 0.333
Y: 0.667 0.333 0.502
Hg: 0.000 0.000 0.751
Hg: 0.333 0.667 0.418
Hg: 0.667 0.333 0.085
Te: 0.000 0.000 0.583
Te: 0.333 0.667 0.250
Te: 0.667 0.333 0.916



Record 19
YHgTe2 | PBE | relaxed

relative energy among the computed polymorphs: 58 meV/atom
formation energy (no corrections): -0.84 eV/atom
magnetization: 0.00 μB/cell

Lattice parameters (Å, degrees): 7.771 4.328 9.755 90.00 113.17 90.00
Fractional coordinates of all 8 atoms:
Y: 0.224 0.250 0.492
Y: 0.776 0.750 0.508
Hg: 0.451 0.250 0.891
Hg: 0.549 0.750 0.109
Te: 0.024 0.250 0.710
Te: 0.489 0.250 0.321
Te: 0.511 0.750 0.679
Te: 0.976 0.750 0.290



Record 20
YHgTe2 | PBE | relaxed

relative energy among the computed polymorphs: 206 meV/atom
formation energy (no corrections): -0.69 eV/atom
magnetization: 0.00 μB/cell

Lattice parameters (Å, degrees): 5.096 5.096 6.147 90.00 90.00 120.00
Fractional coordinates of all 4 atoms:
Y: 0.000 0.000 0.000
Hg: 0.667 0.333 0.307
Te: 0.000 0.000 0.489
Te: 0.333 0.667 0.900